Record 1
Density functional theory data (PBE) for a relaxed structure of K3Ho3GaS8.

```
15
Lattice="7.8376 -0.0003 -0.0002 -3.9191 6.7932 -0.0281 0.0000 -4.5005 7.5661" Properties=species:S:1:pos:R:3 pbc="T T T"
S 3.9186 0.0199 5.2954
Ho 1.9593 1.1462 3.7689
S 2.0770 3.4838 5.1893
Ho 3.9188 -2.2504 3.7829
S 3.9187 2.4129 2.3358
S 1.8415 -1.1914 2.3485
K 0.0000 0.0000 0.0000
Ho -1.9596 1.1464 3.7690
S -0.0001 2.2725 2.2424
S 5.9964 -1.1916 2.3486
K 1.9593 3.3964 -0.0142
S -2.0779 3.4840 5.1892
S -0.0002 -0.1206 5.2019
Ga 0.0000 -2.2503 3.7831
K -1.9596 3.3966 -0.0141
```

## Properties
- DOS(E_F) (states/eV/f.u.) = 14.211
- E_tot (eV per formula unit) = -75.45


Record 2
Density functional theory data (PBE) for a relaxed structure of K2HoGaSe4.

```
16
Lattice="-1.9174 -7.9459 -2.5052 -1.9948 -1.8990 8.0934 -3.6365 6.7924 -3.9018" Properties=species:S:1:pos:R:3 pbc="T T T"
Ho -4.7329 -5.4992 -0.4094
K -2.7769 -0.5768 -3.2035
Se -3.9356 -3.0081 -1.5919
Se -2.6412 0.6865 -0.2528
Ga -3.7743 -1.5263 0.8432
K -1.9561 -4.9225 2.7941
Ga -5.5538 -1.1535 -6.4070
Se -1.1348 -2.0766 1.3347
Se -5.4338 3.5522 1.6787
Se -6.4138 -0.9759 0.3517
Ho -0.9974 -0.9495 4.0467
Se -4.9074 -3.7391 1.9392
Se -2.1148 -6.6048 0.0076
Se -3.6130 -0.0444 3.2783
K -0.9587 -3.9730 -1.2526
K -1.8182 3.3962 -1.9509
```

## Properties
- DOS(E_F) (states/eV/f.u.) = 1.264
- E_tot (eV per formula unit) = -33.00


Record 3
Density functional theory data (PBE) for a relaxed structure of KHoGaTe3.

```
12
Lattice="-1.3622 -2.1154 3.7342 9.1109 -1.7273 2.3450 -2.3278 9.4553 4.5072" Properties=species:S:1:pos:R:3 pbc="T T T"
Ho 5.3422 -0.4213 3.0674
Te 6.7106 -1.9255 5.4292
Te -1.2896 7.5381 5.1572
Ho 0.0788 6.0340 7.5190
Ga -1.0774 5.1394 3.8757
Te 2.6864 -0.8329 4.5802
Te 5.7087 2.3105 4.7487
Te -0.2877 3.3021 5.8377
Te 2.7346 6.4455 6.0062
K 4.5412 4.2660 8.1452
Ga 6.4984 0.4732 6.7106
K 0.8798 1.3466 2.4411
```

## Properties
- DOS(E_F) (states/eV/f.u.) = 1.471
- E_tot (eV per formula unit) = -23.77


Record 4
Density functional theory data (PBE) for a relaxed structure of K3Ho3GaTe8.

```
15
Lattice="-7.6386 -3.0235 2.7893 7.3544 -2.6733 3.7527 -2.8688 9.2423 2.1585" Properties=species:S:1:pos:R:3 pbc="T T T"
Te -2.6057 1.9372 1.4668
K 0.0000 0.0000 0.0000
Te -4.1818 3.0634 5.3602
Te -0.4112 4.5634 3.8198
Te -2.7418 -1.0180 4.8807
Te 1.0288 0.4821 3.3403
Ho -1.5765 1.7727 4.3502
Ho 2.2428 3.2845 2.9556
K 3.6772 -1.3367 1.8764
Ho -5.2537 3.1094 2.4739
Te 3.4112 3.1737 5.7882
Te -0.5473 1.6083 7.2336
Te -6.5642 0.3718 2.9123
K -0.1421 -2.8484 3.2710
Ga -1.4344 4.6211 1.0792
```

## Properties
- DOS(E_F) (states/eV/f.u.) = 7.184
- E_tot (eV per formula unit) = -61.10


Record 5
Density functional theory data (PBE) for a relaxed structure of LaHo2Ga2.

```
10
Lattice="-0.5623 3.0541 3.1596 -4.0929 -2.8801 2.0556 8.1319 -5.1637 6.4386" Properties=species:S:1:pos:R:3 pbc="T T T"
La 4.4200 -2.5564 7.9166
Ga -2.8301 0.3201 3.8459
Ga 1.5727 -0.1995 5.1316
Ga 6.3068 -5.3096 7.8078
Ho 0.4340 -2.3289 6.9873
La -0.9433 -2.4332 3.7371
Ho 3.5987 -6.2813 8.2651
Ga 1.9041 -4.7901 6.5221
Ho -0.1220 1.2917 3.3886
Ho 3.0427 -2.6607 4.6663
```

## Properties
- DOS(E_F) (states/eV/f.u.) = 4.081
- energy of formation from the pure elements (eV/f.u.) = -1.91


Record 6
Density functional theory data (PBE) for a relaxed structure of La4Ho3Ga4.

```
11
Lattice="-2.4729 1.0496 2.2912 -6.4986 -3.6925 -5.3224 5.3204 -6.8259 6.1489" Properties=species:S:1:pos:R:3 pbc="T T T"
Ho -3.2493 -1.8463 -2.6612
La -0.5407 -6.0651 2.1950
Ga -6.2824 -2.3423 -2.9871
Ga -2.7775 -6.4519 -0.0420
La -5.3067 -4.6516 -0.8760
La 1.6555 -4.8172 3.9937
Ga -0.8736 -3.0169 3.1598
Ga -2.6891 -0.3005 -0.0441
La -3.1104 -3.4037 0.9228
Ho -3.8021 -7.9948 2.2795
Ho 0.1510 -1.4740 0.8383
```

## Properties
- DOS(E_F) (states/eV/f.u.) = 9.102
- energy of formation from the pure elements (eV/f.u.) = -4.59


Record 7
Density functional theory data (PBE) for a relaxed structure of La3HoGa4.

```
8
Lattice="3.7038 0.0000 0.0000 0.0000 3.7038 0.0000 0.0000 0.0000 14.9705" Properties=species:S:1:pos:R:3 pbc="T T T"
Ga 0.0000 0.0000 13.3464
La 1.8519 1.8519 7.4852
Ga 0.0000 0.0000 9.4153
Ga 0.0000 0.0000 1.6240
Ho 1.8519 1.8519 0.0000
La 1.8519 1.8519 3.6285
Ga 0.0000 0.0000 5.5552
La 1.8519 1.8519 11.3420
```

## Properties
- DOS(E_F) (states/eV/f.u.) = 4.256
- energy of formation from the pure elements (eV/f.u.) = -4.60


Record 8
Density functional theory data (PBE) for a relaxed structure of La6HoGa2.

```
9
Lattice="3.7717 0.0000 0.5988 1.6545 6.3830 1.7567 0.0497 -0.0236 11.8646" Properties=species:S:1:pos:R:3 pbc="T T T"
La 3.4270 3.2631 2.7700
Ga 3.9482 5.6999 11.6644
La 4.8870 4.7235 5.7511
La 2.0489 3.0963 11.4501
La 0.5888 1.6359 8.4689
Ga 1.5276 0.6594 2.5557
La 2.9920 1.3487 5.5095
Ho 0.0000 0.0000 0.0000
La 2.4838 5.0107 8.7106
```

## Properties
- DOS(E_F) (states/eV/f.u.) = 11.851
- energy of formation from the pure elements (eV/f.u.) = -2.24


Record 9
Density functional theory data (PBE) for a relaxed structure of La2HoGa4.

```
7
Lattice="-2.4753 -2.9599 -1.7070 2.7010 -3.0808 1.4252 -5.0655 2.4543 8.3039" Properties=species:S:1:pos:R:3 pbc="T T T"
Ga -5.5631 -1.9743 6.2758
La -3.0121 -3.3775 5.0097
Ga -1.2307 -3.1739 2.0736
Ga -3.6090 -0.4125 5.9485
Ho -1.2376 -1.4799 -0.8535
La -1.8277 -0.2089 3.0124
Ga 0.7234 -1.6121 1.7463
```

## Properties
- DOS(E_F) (states/eV/f.u.) = 5.613
- energy of formation from the pure elements (eV/f.u.) = -4.17


Record 10
Density functional theory data (PBE) for a relaxed structure of La2HoGa.

```
4
Lattice="-2.4839 3.6361 3.3143 -0.7538 -1.1939 5.3275 2.9115 2.6504 3.8568" Properties=species:S:1:pos:R:3 pbc="T T T"
Ga -0.1631 2.5463 6.2493
La -0.2446 3.8194 9.3739
Ho 0.0000 0.0000 0.0000
La -0.0815 1.2731 3.1246
```

## Properties
- DOS(E_F) (states/eV/f.u.) = 6.815
- energy above the lowest structure with this stoichiometry (meV per atom) = 113
- energy of formation from the pure elements (eV/f.u.) = -0.50


Record 11
Density functional theory data (PBE) for a relaxed structure of La2HoGa.

```
4
Lattice="-3.6780 2.4616 -2.3256 -3.2130 -2.0820 2.8778 0.4484 3.6116 3.1136" Properties=species:S:1:pos:R:3 pbc="T T T"
La 0.2242 1.8058 1.5568
La -1.6065 -1.0410 1.4389
Ho -1.8390 1.2308 -1.1628
Ga -3.2213 1.9956 1.8329
```

## Properties
- DOS(E_F) (states/eV/f.u.) = 5.480
- energy above the lowest structure with this stoichiometry (meV per atom) = 0
- energy of formation from the pure elements (eV/f.u.) = -0.95


Record 12
Density functional theory data (PBE) for a relaxed structure of LaHo2Ga.

```
4
Lattice="-2.2702 4.3609 0.0827 -1.5530 1.8827 4.2687 3.8544 4.7379 2.1446" Properties=species:S:1:pos:R:3 pbc="T T T"
La 0.1516 5.5612 3.2664
Ho -0.3904 2.5391 1.5701
Ho 3.1230 4.3590 2.0456
Ga 1.0171 8.7508 5.0065
```

## Properties
- DOS(E_F) (states/eV/f.u.) = 4.437
- energy above the lowest structure with this stoichiometry (meV per atom) = 172
- energy of formation from the pure elements (eV/f.u.) = -0.44